# PBE NaTiTcRh2, relaxed
data_NaTiTcRh2
_cell_length_a 4.781
_cell_length_b 4.604
_cell_length_c 4.781
_cell_angle_alpha 90.00
_cell_angle_beta 90.00
_cell_angle_gamma 90.00
_space_group_name_H-M_alt 'P 1'
_space_group_IT_number 1
loop_
_space_group_symop_operation_xyz
'x,y,z'
loop_
_atom_site_label
_atom_site_fract_x
_atom_site_fract_y
_atom_site_fract_z
Rh1 0.000 0.000 0.500
Ti1 0.000 0.500 0.000
Na1 0.500 0.500 0.500
Rh2 0.500 0.000 0.000
Tc1 0.000 0.000 0.000
# Space group: No. 123
# Energy relative to the elements in eV per atom: 0.704

=====

# PBE NaZr2TcRh, relaxed
data_NaZr2TcRh
_cell_length_a 4.952
_cell_length_b 4.863
_cell_length_c 4.952
_cell_angle_alpha 90.00
_cell_angle_beta 90.00
_cell_angle_gamma 90.00
_space_group_name_H-M_alt 'P 1'
_space_group_IT_number 1
loop_
_space_group_symop_operation_xyz
'x,y,z'
loop_
_atom_site_label
_atom_site_fract_x
_atom_site_fract_y
_atom_site_fract_z
Zr1 0.000 0.000 0.500
Na1 0.000 0.500 0.000
Tc1 0.500 0.500 0.500
Zr2 0.500 0.000 0.000
Rh1 0.000 0.000 0.000
# Space group: No. 123
# Energy relative to the elements in eV per atom: 0.929

=====

# PBE NaTeRh, relaxed
data_NaTeRh
_cell_length_a 4.549
_cell_length_b 4.548
_cell_length_c 6.881
_cell_angle_alpha 88.08
_cell_angle_beta 88.10
_cell_angle_gamma 98.00
_space_group_name_H-M_alt 'P 1'
_space_group_IT_number 1
loop_
_space_group_symop_operation_xyz
'x,y,z'
loop_
_atom_site_label
_atom_site_fract_x
_atom_site_fract_y
_atom_site_fract_z
Rh1 0.780 0.400 0.920
Na1 0.317 0.370 0.250
Na2 0.810 0.863 0.589
Te1 0.839 0.892 0.117
Te2 0.288 0.341 0.722
Rh2 0.347 0.833 0.920
# Space group: No. 12
# Energy relative to the elements, uncorrected in eV per atom: -0.427

=====

# PBE NaTeRh3, relaxed
data_NaTeRh3
_cell_length_a 4.568
_cell_length_b 4.568
_cell_length_c 4.568
_cell_angle_alpha 90.00
_cell_angle_beta 90.00
_cell_angle_gamma 90.00
_space_group_name_H-M_alt 'P 1'
_space_group_IT_number 1
loop_
_space_group_symop_operation_xyz
'x,y,z'
loop_
_atom_site_label
_atom_site_fract_x
_atom_site_fract_y
_atom_site_fract_z
Rh1 0.000 0.000 0.500
Na1 0.000 0.000 0.000
Rh2 0.500 0.000 0.000
Rh3 0.000 0.500 0.000
Te1 0.500 0.500 0.500
# Space group: No. 221
# Energy relative to the elements, uncorrected in eV per atom: 1.370
# E above lowest polymorph in meV per atom: 825

=====

# PBE Na2TeRh, relaxed
data_Na2TeRh
_cell_length_a 4.080
_cell_length_b 4.080
_cell_length_c 10.878
_cell_angle_alpha 79.19
_cell_angle_beta 79.19
_cell_angle_gamma 90.00
_space_group_name_H-M_alt 'P 1'
_space_group_IT_number 1
loop_
_space_group_symop_operation_xyz
'x,y,z'
loop_
_atom_site_label
_atom_site_fract_x
_atom_site_fract_y
_atom_site_fract_z
Rh1 0.250 0.750 0.500
Na1 0.875 0.863 0.750
Te1 0.750 0.250 0.500
Na2 0.613 0.125 0.250
Na3 0.375 0.387 0.750
Te2 0.000 0.000 0.000
Na4 0.137 0.625 0.250
Rh2 0.500 0.500 0.000
# Space group: No. 122
# Energy relative to the elements, uncorrected in eV per atom: -0.038

=====

# PBE NaTeRh3, relaxed
data_NaTeRh3
_cell_length_a 4.882
_cell_length_b 4.882
_cell_length_c 4.882
_cell_angle_alpha 90.00
_cell_angle_beta 90.00
_cell_angle_gamma 90.00
_space_group_name_H-M_alt 'P 1'
_space_group_IT_number 1
loop_
_space_group_symop_operation_xyz
'x,y,z'
loop_
_atom_site_label
_atom_site_fract_x
_atom_site_fract_y
_atom_site_fract_z
Na1 0.500 0.500 0.500
Rh1 0.500 0.000 0.000
Rh2 0.000 0.000 0.500
Te1 0.000 0.000 0.000
Rh3 0.000 0.500 0.000
# Space group: No. 221
# Energy relative to the elements, uncorrected in eV per atom: 0.545
# E above lowest polymorph in meV per atom: 0

=====

DOS(E_F) per entry: 0.984 1.230 0.727 1.194 0.577 0.508 states/eV per atom